Here is a relaxed LaCoBr2 crystal from the Alexandria database. Energies are from PBE.

**M_tot**: 1.7 μB/f.u.
**Space-group type**: No. 119
**Polymorph energy (0 for the lowest one)**: 436.4 meV per atom
**VASP energy**: -4.32 eV/atom
**Density of states at the Fermi level**: 1.1 states/eV/f.u.

Cell lengths 5.8793, 5.8793, 5.8793 Å; angles 136.22, 136.22, 63.64 degrees
Site moments in Bohr magnetons follow the coordinates.
Atoms (fractional coordinates):
Br 0.2500 0.7500 0.5000  0.00
Br 0.0000 0.0000 0.0000  0.05
La 0.7500 0.2500 0.5000  -0.12
Co 0.5000 0.5000 0.0000  1.82